The following is a DFT calculation (PBE) of a relaxed Re2NiPb crystal.

a b c (Å): 4.9781 4.9781 2.9437
angles (deg): 90.00 90.00 116.30
Positions (direct):
Re1 0.0000 0.5000 0.0000
Re2 0.5000 0.0000 0.0000
Ni1 0.0000 0.0000 0.5000
Pb1 0.5000 0.5000 0.5000

Output
E_form (eV/atom): 0.948
Calculated total energy (eV for the cell shown): -30.6
Space group: Cmmm
M_tot (μB/f.u.): 0.00